Record 1
First-principles (PBE) data for crystalline Be3In at its relaxed geometry, as listed in Alexandria.

## Properties
Magnetization   0.00 Bohr magnetons per cell
E_form   0.255 eV/atom
Energy above the most stable polymorph in this dataset   23 meV per atom

CIF file:
```
data_Be3In
_cell_length_a 3.638
_cell_length_b 5.600
_cell_length_c 6.253
_cell_angle_alpha 102.65
_cell_angle_beta 106.74
_cell_angle_gamma 108.76
_symmetry_space_group_name_H-M 'P 1'
_symmetry_Int_Tables_number 1
_symmetry_space_group_name_Hall 'P 1'
loop_
_atom_site_label
_atom_site_fract_x
_atom_site_fract_y
_atom_site_fract_z
Be1 0.696 0.575 0.538
Be2 0.002 0.031 0.694
Be3 0.046 0.336 0.475
In1 0.391 0.576 0.911
Be4 0.502 0.170 0.556
Be5 0.754 0.883 0.343
Be6 0.287 0.769 0.525
In2 0.263 0.121 0.125
```

=====

Record 2
First-principles (PBE) data for crystalline YTh2Sc at its relaxed geometry, as listed in Alexandria.

## Properties
Magnetization   0.00 Bohr magnetons per cell
E_form   0.050 eV/atom
Energy above the most stable polymorph in this dataset   11 meV per atom

CIF file:
```
data_YTh2Sc
_cell_length_a 4.920
_cell_length_b 4.970
_cell_length_c 4.970
_cell_angle_alpha 90.00
_cell_angle_beta 90.00
_cell_angle_gamma 90.00
_symmetry_space_group_name_H-M 'P 1'
_symmetry_Int_Tables_number 1
_symmetry_space_group_name_Hall 'P 1'
loop_
_atom_site_label
_atom_site_fract_x
_atom_site_fract_y
_atom_site_fract_z
Y1 0.500 0.500 0.500
Th1 0.000 0.500 0.000
Th2 0.000 0.000 0.500
Sc1 0.500 0.000 0.000
```